A plane-wave DFT calculation with PBE-GGA was carried out for an optimized crystal structure of Pr2MgGa3Pd4.

* crystal system: tetragonal
* ΔE_f: -0.7719 eV per atom

```
data_Pr2MgGa3Pd4
_space_group_name_H-M_alt 'P -4 m 2'
_space_group_IT_number 115
_space_group_name_Hall 'P -4 -2'
_cell_length_a 4.314
_cell_length_b 4.314
_cell_length_c 10.762
_cell_angle_alpha 90.00
_cell_angle_beta 90.00
_cell_angle_gamma 90.00
loop_
_atom_site_label
_atom_site_type_symbol
_atom_site_fract_x
_atom_site_fract_y
_atom_site_fract_z
Pr1 Pr 0.000 0.500 0.239
Mg1 Mg 0.000 0.000 0.500
Ga1 Ga 0.000 0.500 0.874
Ga2 Ga 0.500 0.500 0.500
Pd1 Pd 0.000 0.000 0.000
Pd2 Pd 0.000 0.500 0.640
Pd3 Pd 0.500 0.500 0.000
```

***

A plane-wave DFT calculation with PBE-GGA was carried out for an optimized crystal structure of PrMgGa2Pd4.

* crystal system: trigonal
* ΔE_f: -0.7272 eV per atom

```
data_PrMgGa2Pd4
_space_group_name_H-M_alt 'R -3 m'
_space_group_IT_number 166
_space_group_name_Hall '-R 3 2"'
_cell_length_a 4.3587
_cell_length_b 4.3587
_cell_length_c 26.2886
_cell_angle_alpha 90.00
_cell_angle_beta 90.00
_cell_angle_gamma 120.00
loop_
_atom_site_label
_atom_site_type_symbol
_atom_site_fract_x
_atom_site_fract_y
_atom_site_fract_z
Pr1 Pr 0.0000 0.0000 0.0000
Mg1 Mg 0.0000 0.0000 0.5000
Ga1 Ga 0.0000 0.0000 0.2387
Pd1 Pd 0.0000 0.0000 0.1308
Pd2 Pd 0.0000 0.0000 0.4015
```

***

A plane-wave DFT calculation with PBE-GGA was carried out for an optimized crystal structure of Mg2GaPdPt5.

* crystal system: tetragonal
* ΔE_f: -0.0903 eV per atom

```
data_Mg2GaPdPt5
_space_group_name_H-M_alt 'I 4/m c m'
_space_group_IT_number 140
_space_group_name_Hall '-I 4 2c'
_cell_length_a 7.410
_cell_length_b 7.410
_cell_length_c 11.043
_cell_angle_alpha 90.00
_cell_angle_beta 90.00
_cell_angle_gamma 90.00
loop_
_atom_site_label
_atom_site_type_symbol
_atom_site_fract_x
_atom_site_fract_y
_atom_site_fract_z
Mg1 Mg 0.112 0.388 0.000
Ga1 Ga 0.000 0.000 0.250
Pd1 Pd 0.000 0.500 0.250
Pt1 Pt 0.000 0.000 0.000
Pt2 Pt 0.206 0.294 0.369
```